1.
# PuV2Ni | the Alexandria database | GGA-PBE | relaxed
# offset from the most stable computed form: 49 meV/atom
# DFT formation energy: 0.2269 eV/atom
data_PuV2Ni
_chemical_formula_sum 'Pu4 V8 Ni4'
_cell_length_a 6.162
_cell_length_b 6.162
_cell_length_c 6.162
_cell_angle_alpha 90.00
_cell_angle_beta 90.00
_cell_angle_gamma 90.00
_symmetry_space_group_name_H-M 'F m -3 m'
_symmetry_Int_Tables_number 225
_symmetry_space_group_name_Hall '-F 4 2 3'
loop_
_atom_site_label
_atom_site_type_symbol
_atom_site_fract_x
_atom_site_fract_y
_atom_site_fract_z
Pu1 Pu 0.000 0.000 0.000
V1 V 0.250 0.250 0.250
Ni1 Ni 0.000 0.000 0.500

=====

2.
# CuHW | the Alexandria database | GGA-PBE | relaxed
# offset from the most stable computed form: 14 meV/atom
data_CuHW
_chemical_formula_sum 'Cu2 H2 W2'
_cell_length_a 2.748
_cell_length_b 4.250
_cell_length_c 5.565
_cell_angle_alpha 89.65
_cell_angle_beta 77.61
_cell_angle_gamma 89.94
_symmetry_space_group_name_H-M 'P 1'
_symmetry_Int_Tables_number 1
_symmetry_space_group_name_Hall 'P 1'
loop_
_atom_site_label
_atom_site_type_symbol
_atom_site_fract_x
_atom_site_fract_y
_atom_site_fract_z
Cu1 Cu 0.000 0.000 0.000
Cu2 Cu 0.050 0.509 0.767
H1 H 0.018 0.427 0.068
H2 H 0.411 0.005 0.259
W1 W 0.434 0.510 0.302
W2 W 0.664 0.005 0.550

=====

3.
# Y2ZrMo | the Alexandria database | GGA-PBE | relaxed
# offset from the most stable computed form: 128 meV/atom
# DFT formation energy: 0.2500 eV/atom
data_Y2ZrMo
_chemical_formula_sum 'Y4 Zr2 Mo2'
_cell_length_a 3.698
_cell_length_b 5.373
_cell_length_c 10.139
_cell_angle_alpha 90.00
_cell_angle_beta 90.00
_cell_angle_gamma 90.00
_symmetry_space_group_name_H-M 'C m m 2'
_symmetry_Int_Tables_number 35
_symmetry_space_group_name_Hall 'C 2 -2'
loop_
_atom_site_label
_atom_site_type_symbol
_atom_site_fract_x
_atom_site_fract_y
_atom_site_fract_z
Y1 Y 0.000 0.000 0.000
Y2 Y 0.000 0.500 0.317
Zr1 Zr 0.000 0.500 0.724
Mo1 Mo 0.000 0.000 0.535

=====

4.
# Cs2SnGe2Se6 | the Alexandria database | GGA-PBE | relaxed
# energy relative to the elements, uncorrected: -532 meV/atom
data_Cs2SnGe2Se6
_chemical_formula_sum 'Cs6 Sn3 Ge6 Se18'
_cell_length_a 7.6653
_cell_length_b 7.6653
_cell_length_c 24.8282
_cell_angle_alpha 90.00
_cell_angle_beta 90.00
_cell_angle_gamma 120.00
_symmetry_space_group_name_H-M 'R -3 m'
_symmetry_Int_Tables_number 166
_symmetry_space_group_name_Hall '-R 3 2"'
loop_
_atom_site_label
_atom_site_type_symbol
_atom_site_fract_x
_atom_site_fract_y
_atom_site_fract_z
Cs1 Cs 0.0000 0.0000 0.2225
Sn1 Sn 0.0000 0.0000 0.0000
Ge1 Ge 0.0000 0.0000 0.4129
Se1 Se 0.0129 0.5064 0.7508

=====

5.
# RbSr2SbBr8 | the Alexandria database | GGA-PBE | relaxed
# energy relative to the elements, uncorrected: -1518 meV/atom
data_RbSr2SbBr8
_chemical_formula_sum 'Rb1 Sr2 Sb1 Br8'
_cell_length_a 6.954
_cell_length_b 9.533
_cell_length_c 7.173
_cell_angle_alpha 90.00
_cell_angle_beta 90.15
_cell_angle_gamma 90.00
_symmetry_space_group_name_H-M 'P 1 2/m 1'
_symmetry_Int_Tables_number 10
_symmetry_space_group_name_Hall '-P 2y'
loop_
_atom_site_label
_atom_site_type_symbol
_atom_site_fract_x
_atom_site_fract_y
_atom_site_fract_z
Rb1 Rb 0.000 0.000 0.000
Sr1 Sr 0.500 0.249 0.500
Sb1 Sb 0.000 0.500 0.000
Br1 Br 0.238 0.290 0.153
Br2 Br 0.246 0.500 0.672
Br3 Br 0.267 0.000 0.624

=====

6.
# BaPr2Th | the Alexandria database | GGA-PBE | relaxed
# offset from the most stable computed form: 72 meV/atom
# DFT formation energy: 0.1638 eV/atom
data_BaPr2Th
_chemical_formula_sum 'Ba3 Pr6 Th3'
_cell_length_a 3.7109
_cell_length_b 3.7109
_cell_length_c 39.2677
_cell_angle_alpha 90.00
_cell_angle_beta 90.00
_cell_angle_gamma 120.00
_symmetry_space_group_name_H-M 'R -3 m'
_symmetry_Int_Tables_number 166
_symmetry_space_group_name_Hall '-R 3 2"'
loop_
_atom_site_label
_atom_site_type_symbol
_atom_site_fract_x
_atom_site_fract_y
_atom_site_fract_z
Ba1 Ba 0.0000 0.0000 0.0000
Pr1 Pr 0.0000 0.0000 0.0944
Th1 Th 0.0000 0.0000 0.5000

=====

7.
# AsPb3 | the Alexandria database | GGA-PBE | relaxed
# offset from the most stable computed form: 23 meV/atom
# DFT formation energy: 0.0616 eV/atom
data_AsPb3
_chemical_formula_sum 'As3 Pb9'
_cell_length_a 4.1077
_cell_length_b 4.1077
_cell_length_c 25.2394
_cell_angle_alpha 90.00
_cell_angle_beta 90.00
_cell_angle_gamma 120.00
_symmetry_space_group_name_H-M 'R -3 m'
_symmetry_Int_Tables_number 166
_symmetry_space_group_name_Hall '-R 3 2"'
loop_
_atom_site_label
_atom_site_type_symbol
_atom_site_fract_x
_atom_site_fract_y
_atom_site_fract_z
As1 As 0.0000 0.0000 0.0000
Pb1 Pb 0.0000 0.0000 0.2642
Pb2 Pb 0.0000 0.0000 0.5000

=====

8.
# Ag12Se3I5 | the Alexandria database | GGA-PBE | relaxed
# energy relative to the elements, uncorrected: -41 meV/atom
data_Ag12Se3I5
_chemical_formula_sum 'Ag96 Se24 I40'
_cell_length_a 16.546
_cell_length_b 16.546
_cell_length_c 16.546
_cell_angle_alpha 90.00
_cell_angle_beta 90.00
_cell_angle_gamma 90.00
_symmetry_space_group_name_H-M 'I a -3 d'
_symmetry_Int_Tables_number 230
_symmetry_space_group_name_Hall '-I 4bd 2c 3'
loop_
_atom_site_label
_atom_site_type_symbol
_atom_site_fract_x
_atom_site_fract_y
_atom_site_fract_z
Ag1 Ag 0.010 0.089 0.653
Se1 Se 0.000 0.250 0.125
I1 I 0.000 0.000 0.000
I2 I 0.000 0.250 0.375

=====

| no. | D(E_F) (states/eV/atom) |
| --- | --- |
| 1 | 2.296 |
| 2 | 0.248 |
| 3 | 1.444 |
| 4 | 0.189 |
| 5 | 0.000 |
| 6 | 1.016 |
| 7 | 0.358 |
| 8 | 0.061 |